Computed, not measured: an optimized crystal structure of Dy12Al7Si at the PBE level of DFT.

a = 11.225 Å, b = 11.225 Å, c = 11.225 Å
α = 117.44°, β = 117.44°, γ = 94.50°
Positions (direct):
Al 0.118 0.974 0.500
Al 0.618 0.118 0.143
Dy 0.063 0.800 0.136
Dy 0.073 0.937 0.737
Dy 0.427 0.163 0.864
Dy 0.663 0.927 0.864
Dy 0.927 0.063 0.263
Al 0.119 0.381 0.500
Dy 0.172 0.672 0.843
Dy 0.853 0.353 0.500
Si 0.250 0.250 0.000
Dy 0.328 0.172 0.500
Dy 0.800 0.663 0.737
Al 0.381 0.881 0.262
Dy 0.200 0.337 0.263
Si 0.750 0.750 0.000
Dy 0.837 0.700 0.263
Al 0.500 0.500 0.000
Dy 0.828 0.328 0.157
Dy 0.300 0.563 0.136
Dy 0.337 0.073 0.136
Al 0.619 0.119 0.738
Al 0.526 0.382 0.500
Dy 0.563 0.427 0.263
Al 0.881 0.619 0.500
Dy 0.163 0.300 0.737
Dy 0.672 0.828 0.500
Al 0.474 0.618 0.500
Dy 0.700 0.437 0.864
Dy 0.647 0.147 0.500
Al 0.974 0.474 0.857
Dy 0.937 0.200 0.864
Dy 0.353 0.853 0.500
Al 0.382 0.882 0.857
Al 0.000 0.000 0.000
Al 0.882 0.026 0.500
Dy 0.147 0.647 0.500
Al 0.026 0.526 0.143
Dy 0.573 0.837 0.136
Dy 0.437 0.573 0.737

Summary:
VASP energy (eV/atom): -4.723
DOS(E_F) (states/eV per cell): 28.80
E_form (uncorrected) (eV per atom): -0.381